Here is a relaxed LiYAg2Cl crystal from Alexandria. Energies are from PBE.

Values from the calculation:
- VASP energy: -0.111 Ha/atom
- ΔE_f (raw): 0.1684 eV per atom
- Size of the total moment: 0.00 μB/cell

Cell: 5.2262 5.2262 5.0001 Å, 90.00 90.00 90.00°
Closest atoms and distances in Å follow each position.
Space group P4/mmm (No. 123)
One atom of each set of equivalent atoms:
1 Li 0.0000 0.0000 0.0000 x1  8 Ag 3.62, 4 Y 3.70
2 Y 0.5000 0.5000 0.0000 x1  2 Cl 2.50
3 Ag 0.0000 0.5000 0.5000 x2  2 Cl 2.61
4 Cl 0.5000 0.5000 0.5000 x1  2 Y 2.50, 4 Ag 2.61